# 1
KAgIO6: optimized geometry, PBE.

N(E_F) ... 0.9 states/eV/f.u.
Formation energy from raw total energies ... -0.41 eV per atom
Space-group type ... C2, No. 5
Theoretical density ... 4.04 g cm⁻³

abc: 5.3872 5.3872 5.9813
angles: 90.43 90.43 118.74
Element x y z (fractional)
1 K 0.0000 0.0000 0.0000
2 Ag 0.3302 0.6698 0.5000
3 I 0.6634 0.3366 0.5000
4 O 0.3826 0.0340 0.6742
5 O 0.3892 0.3755 0.3154
6 O 0.6245 0.6108 0.6846
7 O 0.6400 0.0535 0.3024
8 O 0.9465 0.3600 0.6976
9 O 0.9660 0.6174 0.3258

# 2
LiTm2Tl: optimized geometry, PBE.

N(E_F) ... 2.1 states/eV/f.u.
DFT formation energy ... -0.170 eV/atom
Space-group type ... P4/mmm, No. 123
Theoretical density ... 9.07 g cm⁻³

abc: 4.9665 4.9665 4.0783
angles: 90.00 90.00 90.00
Element x y z (fractional)
1 Li 0.0000 0.0000 0.0000
2 Tm 0.0000 0.5000 0.5000
3 Tm 0.5000 0.0000 0.5000
4 Tl 0.5000 0.5000 0.0000

# 3
PdCl2F: optimized geometry, PBE.

N(E_F) ... 2.7 states/eV/f.u.
Formation energy from raw total energies ... 0.13 eV per atom
E above lowest polymorph ... 821 meV per atom
Space-group type ... R-3m, No. 166
Theoretical density ... 4.44 g cm⁻³

abc: 3.2001 3.2001 24.8178
angles: 90.00 90.00 120.00
Element x y z (fractional)
1 Pd 0.0000 0.0000 0.0000
2 Pd 0.3333 0.6667 0.6667
3 Pd 0.6667 0.3333 0.3333
4 Cl 0.0000 0.0000 0.0891
5 Cl 0.0000 0.0000 0.9109
6 Cl 0.3333 0.6667 0.5776
7 Cl 0.3333 0.6667 0.7558
8 Cl 0.6667 0.3333 0.2442
9 Cl 0.6667 0.3333 0.4224
10 F 0.0000 0.0000 0.5000
11 F 0.3333 0.6667 0.1667
12 F 0.6667 0.3333 0.8333

# 4
Tb2Pr12Dy5: optimized geometry, PBE.

N(E_F) ... 27.5 states/eV/f.u.
DFT formation energy ... 0.126 eV/atom
E above lowest polymorph ... 0 meV per atom
Space-group type ... C2/m, No. 12
Theoretical density ... 7.02 g cm⁻³

abc: 9.3589 9.3589 8.1387
angles: 93.01 93.01 69.65
Element x y z (fractional)
1 Tb 0.2318 0.7682 0.0000
2 Tb 0.7682 0.2318 0.0000
3 Pr 0.0545 0.0545 0.7135
4 Pr 0.0910 0.5393 0.2077
5 Pr 0.1205 0.6660 0.6139
6 Pr 0.3340 0.8795 0.3861
7 Pr 0.3676 0.3676 0.8929
8 Pr 0.4607 0.9090 0.7923
9 Pr 0.5393 0.0910 0.2077
10 Pr 0.6324 0.6324 0.1071
11 Pr 0.6660 0.1205 0.6139
12 Pr 0.8795 0.3340 0.3861
13 Pr 0.9090 0.4607 0.7923
14 Pr 0.9455 0.9455 0.2865
15 Dy 0.1559 0.1559 0.0953
16 Dy 0.2583 0.2583 0.5130
17 Dy 0.5000 0.5000 0.5000
18 Dy 0.7417 0.7417 0.4870
19 Dy 0.8441 0.8441 0.9047

# 5
Pm3Er4Tm5: optimized geometry, PBE.

N(E_F) ... 19.1 states/eV/f.u.
DFT formation energy ... 0.248 eV/atom
E above lowest polymorph ... 225 meV per atom
Space-group type ... C2/m, No. 12
Theoretical density ... 8.45 g cm⁻³

abc: 8.4385 8.4385 9.2121
angles: 114.48 114.48 40.59
Element x y z (fractional)
1 Pm 0.0000 0.0000 0.0000
2 Pm 0.2913 0.2913 0.7679
3 Pm 0.7087 0.7087 0.2321
4 Er 0.2912 0.2912 0.1230
5 Er 0.4185 0.4185 0.5587
6 Er 0.5815 0.5815 0.4413
7 Er 0.7088 0.7088 0.8770
8 Tm 0.0728 0.0728 0.6961
9 Tm 0.1722 0.1722 0.3874
10 Tm 0.5000 0.5000 0.0000
11 Tm 0.8278 0.8278 0.6126
12 Tm 0.9272 0.9272 0.3039

# 6
Dy6Y4Th: optimized geometry, PBE.

N(E_F) ... 19.4 states/eV/f.u.
DFT formation energy ... 0.171 eV/atom
E above lowest polymorph ... 0 meV per atom
Space-group type ... P4/mnc, No. 128
Theoretical density ... 7.29 g cm⁻³

abc: 8.7059 8.7059 9.3864
angles: 90.00 90.00 90.00
Element x y z (fractional)
1 Dy 0.0000 0.0000 0.1651
2 Dy 0.0000 0.0000 0.8349
3 Dy 0.1414 0.3464 0.0000
4 Dy 0.1536 0.3586 0.5000
5 Dy 0.3464 0.8586 0.0000
6 Dy 0.3586 0.8464 0.5000
7 Dy 0.5000 0.5000 0.3349
8 Dy 0.5000 0.5000 0.6651
9 Dy 0.6414 0.1536 0.5000
10 Dy 0.6536 0.1414 0.0000
11 Dy 0.8464 0.6414 0.5000
12 Dy 0.8586 0.6536 0.0000
13 Y 0.1489 0.6489 0.2500
14 Y 0.1489 0.6489 0.7500
15 Y 0.3511 0.1489 0.2500
16 Y 0.3511 0.1489 0.7500
17 Y 0.6489 0.8511 0.2500
18 Y 0.6489 0.8511 0.7500
19 Y 0.8511 0.3511 0.2500
20 Y 0.8511 0.3511 0.7500
21 Th 0.0000 0.0000 0.5000
22 Th 0.5000 0.5000 0.0000

# 7
LiNiRh2: optimized geometry, PBE.

N(E_F) ... 3.1 states/eV/f.u.
DFT formation energy ... -0.062 eV/atom
E above lowest polymorph ... 0 meV per atom
Space-group type ... I-4m2, No. 119
Theoretical density ... 8.90 g cm⁻³

abc: 3.6648 3.6648 7.5445
angles: 90.00 90.00 90.00
Element x y z (fractional)
1 Li 0.0000 0.0000 0.0000
2 Li 0.5000 0.5000 0.5000
3 Ni 0.0000 0.5000 0.7500
4 Ni 0.5000 0.0000 0.2500
5 Rh 0.0000 0.0000 0.5000
6 Rh 0.0000 0.5000 0.2500
7 Rh 0.5000 0.0000 0.7500
8 Rh 0.5000 0.5000 0.0000

# 8
TlCo2Au: optimized geometry, PBE.

N(E_F) ... 5.3 states/eV/f.u.
DFT formation energy ... 0.472 eV/atom
Space-group type ... C2/m, No. 12
Theoretical density ... 12.06 g cm⁻³

abc: 9.0217 2.9365 5.7597
angles: 90.00 110.40 90.00
Element x y z (fractional)
1 Tl 0.0000 0.0000 0.0000
2 Tl 0.5000 0.5000 0.0000
3 Co 0.2420 0.5000 0.3323
4 Co 0.2580 0.0000 0.6677
5 Co 0.7420 0.0000 0.3323
6 Co 0.7580 0.5000 0.6677
7 Au 0.0000 0.5000 0.5000
8 Au 0.5000 0.0000 0.5000

# 9
HgSbAsBr: optimized geometry, PBE.

N(E_F) ... 2.5 states/eV/f.u.
Formation energy from raw total energies ... -0.04 eV per atom
Space-group type ... Cm, No. 8
Theoretical density ... 6.43 g cm⁻³

abc: 7.0413 4.0658 8.6059
angles: 90.00 90.11 90.00
Element x y z (fractional)
1 Hg 0.0000 0.0000 0.0000
2 Hg 0.5000 0.5000 0.0000
3 Sb 0.0017 0.0000 0.6518
4 Sb 0.5017 0.5000 0.6518
5 As 0.1680 0.5000 0.4856
6 As 0.6680 0.0000 0.4856
7 Br 0.3343 0.0000 0.2261
8 Br 0.8343 0.5000 0.2261

# 10
Sr2CrBC: optimized geometry, PBE.

N(E_F) ... 2.1 states/eV/f.u.
DFT formation energy ... 0.711 eV/atom
Space-group type ... P4/mmm, No. 123
Theoretical density ... 3.71 g cm⁻³

abc: 5.3724 5.3724 3.8811
angles: 90.00 90.00 90.00
Element x y z (fractional)
1 Sr 0.0000 0.5000 0.0000
2 Sr 0.5000 0.0000 0.0000
3 Cr 0.0000 0.0000 0.5000
4 B 0.5000 0.5000 0.5000
5 C 0.0000 0.0000 0.0000

# 11
Pm5Si2Au2: optimized geometry, PBE.

N(E_F) ... 8.6 states/eV/f.u.
Formation energy from raw total energies ... -0.70 eV per atom
Space-group type ... Cmce, No. 64
Theoretical density ... 8.27 g cm⁻³

abc: 8.7753 8.7753 7.7269
angles: 90.00 90.00 52.46
Element x y z (fractional)
1 Pm 0.0000 0.0000 0.0000
2 Pm 0.0452 0.6871 0.6728
3 Pm 0.1871 0.5452 0.1728
4 Pm 0.3129 0.9548 0.6728
5 Pm 0.4548 0.8129 0.1728
6 Pm 0.5000 0.5000 0.5000
7 Pm 0.5452 0.1871 0.8272
8 Pm 0.6871 0.0452 0.3272
9 Pm 0.8129 0.4548 0.8272
10 Pm 0.9548 0.3129 0.3272
11 Si 0.1158 0.8842 0.3833
12 Si 0.3842 0.6158 0.8833
13 Si 0.6158 0.3842 0.1167
14 Si 0.8842 0.1158 0.6167
15 Au 0.2083 0.2083 0.0000
16 Au 0.2917 0.2917 0.5000
17 Au 0.7083 0.7083 0.5000
18 Au 0.7917 0.7917 0.0000

# 12
CaZn2Ni: optimized geometry, PBE.

N(E_F) ... 2.7 states/eV/f.u.
DFT formation energy ... -0.048 eV/atom
Space-group type ... Fm-3m, No. 225
Theoretical density ... 5.52 g cm⁻³

abc: 6.5121 6.5121 6.5121
angles: 90.00 90.00 90.00
Element x y z (fractional)
1 Ca 0.0000 0.0000 0.0000
2 Ca 0.0000 0.5000 0.5000
3 Ca 0.5000 0.0000 0.5000
4 Ca 0.5000 0.5000 0.0000
5 Zn 0.2500 0.2500 0.2500
6 Zn 0.2500 0.2500 0.7500
7 Zn 0.2500 0.7500 0.2500
8 Zn 0.2500 0.7500 0.7500
9 Zn 0.7500 0.2500 0.2500
10 Zn 0.7500 0.2500 0.7500
11 Zn 0.7500 0.7500 0.2500
12 Zn 0.7500 0.7500 0.7500
13 Ni 0.0000 0.0000 0.5000
14 Ni 0.0000 0.5000 0.0000
15 Ni 0.5000 0.0000 0.0000
16 Ni 0.5000 0.5000 0.5000